Computed, not measured: Pa2MnSnO8 after structural relaxation at the PBE with a Hubbard U level of DFT.

Values from the calculation:
- final energy (eV/cell) = -103.296
- D(E_F) (states/eV/f.u.) = 0.00

Cell lengths 4.914, 4.914, 7.076 Å; angles 90.00, 90.00, 90.41 degrees
Fractional positions:
Pa 0.000 0.000 0.248
Pa 0.000 0.000 0.752
Mn 0.500 0.500 0.000
Sn 0.500 0.500 0.500
O 0.190 0.190 0.000
O 0.195 0.195 0.500
O 0.306 0.694 0.270
O 0.306 0.694 0.730
O 0.694 0.306 0.270
O 0.694 0.306 0.730
O 0.805 0.805 0.500
O 0.810 0.810 0.000